1.
The following is a PBE calculation of a relaxed structure of Rb4Ce3TmO8, from Alexandria.

## Properties
As for the raw total energy: -321.1 eV per cell. The total magnetization is 8.932 Bohr magnetons per cell. The value obtained for the energy relative to the elements, uncorrected is -2577.1 meV/atom.

Unit cell a=7.2383 b=7.2383 c=19.7424 alpha=90.00 beta=90.00 gamma=120.00
Space group R-3m (No. 166, hexagonal axes)
Inequivalent atoms, fractional coordinates:
Rb1 0.0000 0.0000 0.0000 (multiplicity 3)
Rb2 0.0000 0.5000 0.0000 (multiplicity 9)
Ce1 0.0000 0.5000 0.5000 (multiplicity 9)
Tm1 0.0000 0.0000 0.5000 (multiplicity 3)
O1 0.0000 0.0000 0.2263 (multiplicity 6)
O2 0.0118 0.5059 0.2249 (multiplicity 18)


2.
The following is a PBE calculation of a relaxed structure of RbCe2Tm2O7, from Alexandria.

## Properties
As for the raw total energy: -188.7 eV per cell. The total magnetization is 1.681 Bohr magnetons per cell. The value obtained for the energy relative to the elements, uncorrected is -3157.0 meV/atom.

Unit cell a=4.5570 b=4.5570 c=19.6808 alpha=90.00 beta=90.00 gamma=90.00
Space group I4/mmm (No. 139)
Inequivalent atoms, fractional coordinates:
Rb1 0.0000 0.0000 0.0000 (multiplicity 2)
Ce1 0.0000 0.0000 0.3881 (multiplicity 4)
Tm1 0.0000 0.5000 0.2500 (multiplicity 4)
O1 0.0000 0.0000 0.2612 (multiplicity 4)
O2 0.0000 0.0000 0.5000 (multiplicity 2)
O3 0.0000 0.5000 0.1377 (multiplicity 8)


3.
The following is a PBE calculation of a relaxed structure of Rb3Ce3TmO8, from Alexandria.

## Properties
As for the raw total energy: -320.8 eV per cell. The total magnetization is 6.041 Bohr magnetons per cell. The value obtained for the energy relative to the elements, uncorrected is -2805.2 meV/atom.

Unit cell a=7.1663 b=7.1663 c=19.9093 alpha=90.00 beta=90.00 gamma=120.00
Space group R-3m (No. 166, hexagonal axes)
Inequivalent atoms, fractional coordinates:
Rb1 0.0000 0.5000 0.0000 (multiplicity 9)
Ce1 0.0000 0.5000 0.5000 (multiplicity 9)
Tm1 0.0000 0.0000 0.5000 (multiplicity 3)
O1 0.0000 0.0000 0.2256 (multiplicity 6)
O2 0.0106 0.5053 0.2215 (multiplicity 18)


4.
The following is a PBE calculation of a relaxed structure of RbCe2UO8, from Alexandria.

## Properties
As for the raw total energy: -97.5 eV per cell. The total magnetization is 1.010 Bohr magnetons per cell. The value obtained for the energy relative to the elements, uncorrected is -2806.9 meV/atom.

Unit cell a=5.2260 b=7.6053 c=5.2261 alpha=90.00 beta=91.08 gamma=90.00
Space group P2/m (No. 10)
Inequivalent atoms, fractional coordinates:
Rb1 0.0000 0.0000 0.0000 (multiplicity 1)
Ce1 0.5000 0.2663 0.5000 (multiplicity 2)
U1 0.0000 0.5000 0.0000 (multiplicity 1)
O1 0.1933 0.3088 0.1917 (multiplicity 4)
O2 0.3055 0.5000 0.6928 (multiplicity 2)
O3 0.3559 0.0000 0.6416 (multiplicity 2)


5.
The following is a PBE calculation of a relaxed structure of Rb4CeU3O12, from Alexandria.

## Properties
As for the raw total energy: -321.6 eV per cell. The total magnetization is 2.403 Bohr magnetons per cell. The value obtained for the energy relative to the elements, uncorrected is -2881.2 meV/atom.

Unit cell a=8.7594 b=8.7594 c=8.7594 alpha=90.00 beta=90.00 gamma=90.00
Space group Im-3m (No. 229)
Inequivalent atoms, fractional coordinates:
Rb1 0.2500 0.2500 0.2500 (multiplicity 8)
Ce1 0.0000 0.0000 0.0000 (multiplicity 2)
U1 0.0000 0.0000 0.5000 (multiplicity 6)
O1 0.0000 0.0000 0.2646 (multiplicity 12)
O2 0.0000 0.2500 0.5000 (multiplicity 12)